No. 1
A relaxed structure of NdIn2Sn, computed with GGA-PBE.

a b c (Å): 4.8332 4.6839 4.6839
angles (deg): 90.00 90.00 90.00
Last column: nearest neighbours and their distance in Å.
Sites, in units of the cell vectors:
Nd  0.5000  0.5000  0.5000  4 Sn 3.31, 8 In 3.37
Sn  0.5000  0.0000  0.0000  4 Nd 3.31, 8 In 3.37
In  0.0000  0.0000  0.5000  4 In 3.31, 4 Sn 3.37, 4 Nd 3.37
In  0.0000  0.5000  0.0000  4 In 3.31, 4 Sn 3.37, 4 Nd 3.37

## Properties
* raw total energy: -16.22 eV for the cell shown
* M_tot: 0.00 μB per atom

=====

No. 2
A relaxed structure of CrSbBr2, computed with GGA-PBE.

a b c (Å): 4.9621 5.5167 4.9636
angles (deg): 66.61 83.25 113.38
Last column: nearest neighbours and their distance in Å.
Sites, in units of the cell vectors:
Br  0.0000  0.0000  0.0000  2 Cr 2.89, 2 Sb 2.89
Br  0.5000  0.0000  0.5000  2 Sb 2.89, 2 Cr 2.89
Cr  0.0000  0.5000  0.5000  4 Br 2.89
Sb  0.5000  0.5000  0.0000  4 Br 2.89

## Properties
* formation energy (no corrections): 0.58 eV/f.u.
* M_tot: 1.07 μB per atom

=====

No. 3
A relaxed structure of LaTb2TiN4, computed with GGA-PBE.

a b c (Å): 3.4569 6.2261 11.9536
angles (deg): 90.00 90.00 106.12
Last column: nearest neighbours and their distance in Å.
Sites, in units of the cell vectors:
La  0.0950  0.1900  0.7500  6 N 2.67-2.85
La  0.9050  0.8100  0.2500  6 N 2.67-2.85
Tb  0.3704  0.7408  0.5398  6 N 2.35-2.60
Tb  0.6296  0.2592  0.0398  6 N 2.35-2.60
Tb  0.6296  0.2592  0.4602  6 N 2.35-2.60
Tb  0.3704  0.7408  0.9602  6 N 2.35-2.60
Ti  0.8320  0.6641  0.7500  4 N 1.88-2.06
Ti  0.1680  0.3359  0.2500  4 N 1.88-2.06
N  0.2629  0.5257  0.1243  1 Ti 1.88
N  0.7371  0.4743  0.6243  1 Ti 1.88
N  0.7371  0.4743  0.8757  1 Ti 1.88
N  0.2629  0.5257  0.3757  1 Ti 1.88
N  0.0000  0.0000  0.5000  4 Tb 2.37
N  0.0000  0.0000  0.0000  4 Tb 2.37
N  0.4251  0.8502  0.7500  2 Ti 2.06
N  0.5749  0.1498  0.2500  2 Ti 2.06

## Properties
* formation energy (no corrections): -11.82 eV/f.u.
* M_tot: 0.00 μB per atom

=====

No. 4
A relaxed structure of TaRuAu2, computed with GGA-PBE.

a b c (Å): 2.8856 2.8856 8.1393
angles (deg): 90.00 90.00 90.00
Last column: nearest neighbours and their distance in Å.
Sites, in units of the cell vectors:
Au  0.0000  0.0000  0.0017  4 Ru 2.87, 4 Au 2.89, 4 Ta 2.89
Au  0.0000  0.0000  0.4983  4 Ru 2.87, 4 Au 2.89, 4 Ta 2.89
Ru  0.5000  0.5000  0.2500  8 Au 2.87, 4 Ru 2.89
Ta  0.5000  0.5000  0.7500  4 Ta 2.89, 8 Au 2.89

## Properties
* raw total energy: -26.76 eV for the cell shown
* M_tot: 0.34 μB per atom

=====

No. 5
A relaxed structure of TiTeIrN2, computed with GGA-PBE.

a b c (Å): 3.8198 5.8483 3.8198
angles (deg): 90.00 90.00 90.00
Last column: nearest neighbours and their distance in Å.
Sites, in units of the cell vectors:
N  0.0000  0.0000  0.5000  2 Ti 1.91
N  0.5000  0.0000  0.0000  2 Ti 1.91
Ir  0.0000  0.5000  0.0000  4 Te 2.70, 2 Ti 2.92
Te  0.5000  0.5000  0.5000  4 Ir 2.70
Ti  0.0000  0.0000  0.0000  4 N 1.91

## Properties
* formation energy (no corrections): 3.32 eV/f.u.
* M_tot: 0.00 μB per atom

=====

No. 6
A relaxed structure of AgHg5, computed with GGA-PBE.

a b c (Å): 4.5581 4.6330 7.1595
angles (deg): 108.88 90.00 90.00
Last column: nearest neighbours and their distance in Å.
Sites, in units of the cell vectors:
Hg  0.5000  0.8408  0.6816  2 Ag 3.14, 10 Hg 3.17-3.38
Hg  0.0000  0.6625  0.3251  10 Hg 3.17-3.32, 2 Ag 3.20
Hg  0.5000  0.5000  0.0000  8 Hg 3.17, 4 Ag 3.25
Hg  0.0000  0.3375  0.6749  10 Hg 3.17-3.32, 2 Ag 3.20
Hg  0.5000  0.1592  0.3184  2 Ag 3.14, 10 Hg 3.17-3.38
Ag  0.0000  0.0000  0.0000  12 Hg 3.14-3.25

## Properties
* raw total energy: -3.76 eV for the cell shown
* M_tot: 0.00 μB per atom

=====

No. 7
A relaxed structure of SiHPt, computed with GGA-PBE.

a b c (Å): 2.7970 3.7693 3.7693
angles (deg): 120.00 90.00 90.00
Last column: nearest neighbours and their distance in Å.
Sites, in units of the cell vectors:
H  0.8318  0.0000  0.0000  3 Pt 2.18
Si  0.3353  0.6667  0.3333  6 H 2.58-2.59, 6 Pt 2.58-2.59, 2 Si 2.80
Pt  0.8329  0.3333  0.6667  3 H 2.18

## Properties
* raw total energy: -14.47 eV for the cell shown
* M_tot: 0.00 μB per atom

=====

No. 8
A relaxed structure of SrMgAl2, computed with GGA-PBE.

a b c (Å): 3.4591 3.6518 7.8850
angles (deg): 90.00 90.00 90.00
Last column: nearest neighbours and their distance in Å.
Sites, in units of the cell vectors:
Al  0.0000  0.0000  0.0611  4 Al 2.84, 1 Mg 3.00
Al  0.5000  0.5000  0.2282  4 Al 2.84, 4 Mg 3.02
Mg  0.0000  0.0000  0.4410  5 Al 3.00-3.02
Sr  0.5000  0.5000  0.7698  5 Al 3.41-3.61, 4 Sr 3.46-3.65, 4 Mg 3.61

## Properties
* raw total energy: -10.84 eV for the cell shown
* M_tot: 0.00 μB per atom

=====

No. 9
A relaxed structure of La6PmHoEr2, computed with GGA-PBE.

a b c (Å): 9.8373 9.0126 9.0126
angles (deg): 117.36 94.41 94.41
Last column: nearest neighbours and their distance in Å.
Sites, in units of the cell vectors:
La  0.0526  0.1082  0.7574  5 La 3.48-3.80, 2 Er 3.54-3.87, 2 Pm 3.66-3.89
La  0.4474  0.2426  0.8918  5 La 3.48-3.80, 2 Er 3.54-3.87, 2 Pm 3.66-3.89
La  0.9474  0.8918  0.2426  5 La 3.48-3.80, 2 Er 3.54-3.87, 2 Pm 3.66-3.89
La  0.5526  0.7574  0.1082  5 La 3.48-3.80, 2 Er 3.54-3.87, 2 Pm 3.66-3.89
La  0.3080  0.9960  0.4386  3 La 3.34-3.72, 1 Ho 3.45, 1 Er 3.55, 1 Pm 3.64
La  0.1920  0.5614  0.0040  3 La 3.34-3.72, 1 Ho 3.45, 1 Er 3.55, 1 Pm 3.64
La  0.6920  0.0040  0.5614  3 La 3.34-3.72, 1 Ho 3.45, 1 Er 3.55, 1 Pm 3.64
La  0.8080  0.4386  0.9960  3 La 3.34-3.72, 1 Ho 3.45, 1 Er 3.55, 1 Pm 3.64
La  0.1202  0.7026  0.4903  3 La 3.34-3.48, 3 Er 3.34-3.51, 2 Ho 3.44-3.63
La  0.3798  0.5097  0.2974  3 La 3.34-3.48, 3 Er 3.34-3.51, 2 Ho 3.44-3.63
La  0.8798  0.2974  0.5097  3 La 3.34-3.48, 3 Er 3.34-3.51, 2 Ho 3.44-3.63
La  0.6202  0.4903  0.7026  3 La 3.34-3.48, 3 Er 3.34-3.51, 2 Ho 3.44-3.63
Pm  0.2500  0.9745  0.0255  4 Er 3.45-3.46, 4 La 3.64-3.66
Pm  0.7500  0.0255  0.9745  4 Er 3.45-3.46, 4 La 3.64-3.66
Ho  0.2500  0.4109  0.5891  6 La 3.44-3.63, 2 Er 3.56
Ho  0.7500  0.5891  0.4109  6 La 3.44-3.63, 2 Er 3.56
Er  0.4531  0.8014  0.7077  5 La 3.34-3.55, 2 Pm 3.45-3.46, 1 Ho 3.56
Er  0.0469  0.2923  0.1986  5 La 3.34-3.55, 2 Pm 3.45-3.46, 1 Ho 3.56
Er  0.5469  0.1986  0.2923  5 La 3.34-3.55, 2 Pm 3.45-3.46, 1 Ho 3.56
Er  0.9531  0.7077  0.8014  5 La 3.34-3.55, 2 Pm 3.45-3.46, 1 Ho 3.56

## Properties
* raw total energy: -93.92 eV for the cell shown
* M_tot: 0.00 μB per atom

=====

No. 10
A relaxed structure of Y3AlN, computed with GGA-PBE.

a b c (Å): 24.8896 6.1665 9.6951
angles (deg): 90.00 162.58 90.00
Last column: nearest neighbours and their distance in Å.
Sites, in units of the cell vectors:
Y  0.2898  0.9268  0.9348  3 N 2.43-2.65
Y  0.7102  0.0732  0.0652  3 N 2.43-2.65
Y  0.2102  0.4268  0.5652  3 N 2.43-2.65
Y  0.7898  0.5732  0.4348  3 N 2.43-2.65
Y  0.3541  0.4238  0.2560  2 N 2.39-2.40
Y  0.6459  0.5762  0.7440  2 N 2.39-2.40
Y  0.1459  0.9238  0.2440  2 N 2.39-2.40
Y  0.8541  0.0762  0.7560  2 N 2.39-2.40
Y  0.4066  0.8822  0.5772  1 N 2.44
Y  0.5934  0.1178  0.4228  1 N 2.44
Y  0.0934  0.3822  0.9228  1 N 2.44
Y  0.9066  0.6178  0.0772  1 N 2.44
Al  0.0026  0.1585  0.4135  1 Al 2.66
Al  0.9974  0.8415  0.5865  1 Al 2.66
Al  0.4974  0.6585  0.0865  1 Al 2.66
Al  0.5026  0.3415  0.9135  1 Al 2.66
N  0.5228  0.7520  0.6413  6 Y 2.39-2.65
N  0.4772  0.2480  0.3587  6 Y 2.39-2.65
N  0.9772  0.2520  0.8587  6 Y 2.39-2.65
N  0.0228  0.7480  0.1413  6 Y 2.39-2.65

## Properties
* formation energy (no corrections): -3.69 eV/f.u.
* M_tot: 0.09 μB per atom

=====

No. 11
A relaxed structure of CaFeAs2, computed with GGA-PBE.

a b c (Å): 6.0161 6.0161 6.0161
angles (deg): 38.40 38.40 38.40
Last column: nearest neighbours and their distance in Å.
Sites, in units of the cell vectors:
As  0.0284  0.0284  0.0284  3 Fe 2.46
As  0.4716  0.4716  0.4716  3 Fe 2.46
Ca  0.2500  0.2500  0.2500  6 As 2.95
Fe  0.7500  0.7500  0.7500  6 As 2.46

## Properties
* raw total energy: -21.64 eV for the cell shown
* M_tot: 0.30 μB per atom

=====

No. 12
A relaxed structure of Y3Si4Ir2, computed with GGA-PBE.

a b c (Å): 4.1557 5.7555 8.0136
angles (deg): 107.06 90.00 111.16
Last column: nearest neighbours and their distance in Å.
Sites, in units of the cell vectors:
Y  0.6170  0.2339  0.6996  7 Si 2.86-3.09, 4 Ir 3.04-3.16
Y  0.0000  0.0000  0.0000  8 Si 3.05-3.26
Y  0.3830  0.7661  0.3004  7 Si 2.86-3.09, 4 Ir 3.04-3.16
Si  0.7190  0.4380  0.0752  1 Ir 2.42, 2 Si 2.59
Si  0.2810  0.5620  0.9248  1 Ir 2.42, 2 Si 2.59
Si  0.9051  0.8103  0.5939  3 Ir 2.39-2.48
Si  0.0949  0.1897  0.4061  3 Ir 2.39-2.48
Ir  0.6890  0.3780  0.3616  4 Si 2.39-2.48
Ir  0.3110  0.6220  0.6384  4 Si 2.39-2.48

## Properties
* formation energy (no corrections): -8.52 eV/f.u.
* M_tot: 0.00 μB per atom

=====

No. 13
A relaxed structure of AcGe4Pb, computed with GGA-PBE.

a b c (Å): 5.8779 5.8779 5.8779
angles (deg): 60.00 60.00 60.00
Last column: nearest neighbours and their distance in Å.
Sites, in units of the cell vectors:
Pb  0.2500  0.2500  0.2500  12 Ge 3.44, 4 Ac 3.60
Ac  0.0000  0.0000  0.0000  12 Ge 3.45, 4 Pb 3.60
Ge  0.6219  0.6219  0.1344  6 Ge 2.86-3.01
Ge  0.6219  0.1344  0.6219  6 Ge 2.86-3.01
Ge  0.6219  0.6219  0.6219  6 Ge 2.86-3.01
Ge  0.1344  0.6219  0.6219  6 Ge 2.86-3.01

## Properties
* raw total energy: -27.27 eV for the cell shown
* M_tot: 0.00 μB per atom

=====

No. 14
A relaxed structure of SmHoCu4, computed with GGA-PBE.

a b c (Å): 5.2847 5.2847 5.2847
angles (deg): 60.00 60.00 60.00
Last column: nearest neighbours and their distance in Å.
Sites, in units of the cell vectors:
Cu  0.6244  0.6244  0.1268  6 Cu 2.63-2.66
Cu  0.6244  0.1268  0.6244  6 Cu 2.63-2.66
Cu  0.6244  0.6244  0.6244  6 Cu 2.63-2.66
Cu  0.1268  0.6244  0.6244  6 Cu 2.63-2.66
Ho  0.2500  0.2500  0.2500  12 Cu 3.10, 4 Sm 3.24
Sm  0.0000  0.0000  0.0000  12 Cu 3.10, 4 Ho 3.24

## Properties
* raw total energy: -26.56 eV for the cell shown
* M_tot: 0.00 μB per atom

=====

No. 15
A relaxed structure of GaPd2Pt5, computed with GGA-PBE.

a b c (Å): 3.9868 5.5707 11.1080
angles (deg): 90.00 90.00 90.00
Last column: nearest neighbours and their distance in Å.
Sites, in units of the cell vectors:
Ga  0.0000  0.0000  0.5000  4 Pd 2.68, 8 Pt 2.71-2.91
Ga  0.0000  0.5000  0.0000  4 Pd 2.68, 8 Pt 2.71-2.91
Pd  0.5000  0.2230  0.6156  2 Ga 2.68, 10 Pt 2.76-2.90
Pd  0.5000  0.7770  0.3844  2 Ga 2.68, 10 Pt 2.76-2.90
Pd  0.5000  0.2770  0.1156  2 Ga 2.68, 10 Pt 2.76-2.90
Pd  0.5000  0.7230  0.8844  2 Ga 2.68, 10 Pt 2.76-2.90
Pt  0.0000  0.0000  0.0000  6 Pt 2.77-2.85, 2 Ga 2.79, 4 Pd 2.83
Pt  0.0000  0.5000  0.5000  6 Pt 2.77-2.85, 2 Ga 2.79, 4 Pd 2.83
Pt  0.0000  0.4765  0.7563  1 Ga 2.71, 7 Pt 2.74-2.85, 4 Pd 2.81-2.90
Pt  0.0000  0.5235  0.2437  1 Ga 2.71, 7 Pt 2.74-2.85, 4 Pd 2.81-2.90
Pt  0.0000  0.0235  0.2563  1 Ga 2.71, 7 Pt 2.74-2.85, 4 Pd 2.81-2.90
Pt  0.0000  0.9765  0.7437  1 Ga 2.71, 7 Pt 2.74-2.85, 4 Pd 2.81-2.90
Pt  0.5000  0.2241  0.8687  6 Pt 2.74-2.79, 4 Pd 2.76-2.81, 2 Ga 2.91
Pt  0.5000  0.7759  0.1313  6 Pt 2.74-2.79, 4 Pd 2.76-2.81, 2 Ga 2.91
Pt  0.5000  0.2759  0.3687  6 Pt 2.74-2.79, 4 Pd 2.76-2.81, 2 Ga 2.91
Pt  0.5000  0.7241  0.6313  6 Pt 2.74-2.79, 4 Pd 2.76-2.81, 2 Ga 2.91

## Properties
* raw total energy: -91.08 eV for the cell shown
* M_tot: 0.00 μB per atom

=====

No. 16
A relaxed structure of Zr2TlCd, computed with GGA-PBE.

a b c (Å): 5.2045 3.2049 5.3610
angles (deg): 89.08 90.00 90.00
Last column: nearest neighbours and their distance in Å.
Sites, in units of the cell vectors:
Tl  0.5000  0.6313  0.8084  8 Zr 3.08-3.18, 2 Tl 3.20, 2 Cd 3.28
Zr  0.0000  0.1035  0.9451  4 Cd 3.04-3.16, 4 Tl 3.10-3.18, 4 Zr 3.20-3.26
Zr  0.5000  0.1465  0.3089  4 Tl 3.08-3.17, 4 Cd 3.09-3.17, 4 Zr 3.20-3.26
Cd  0.0000  0.6187  0.4376  8 Zr 3.04-3.17, 2 Cd 3.20, 2 Tl 3.28

## Properties
* raw total energy: -20.56 eV for the cell shown
* M_tot: 0.00 μB per atom

=====

No. 17
A relaxed structure of Pr3TmSc2, computed with GGA-PBE.

a b c (Å): 5.5657 8.7943 8.7943
angles (deg): 112.73 90.00 90.00
Last column: nearest neighbours and their distance in Å.
Sites, in units of the cell vectors:
Pr  0.9930  0.8881  0.3839  2 Sc 3.14-3.39
Pr  0.4930  0.6161  0.1119  2 Sc 3.14-3.39
Pr  0.9930  0.3839  0.8881  2 Sc 3.14-3.39
Pr  0.4930  0.1119  0.6161  2 Sc 3.14-3.39
Pr  0.4930  0.9102  0.9102  4 Pr 3.29-3.66, 3 Tm 3.36-3.63, 2 Sc 3.42
Pr  0.9930  0.0898  0.0898  4 Pr 3.29-3.66, 3 Tm 3.36-3.63, 2 Sc 3.42
Tm  0.9930  0.7177  0.7177  3 Pr 3.36-3.63, 6 Sc 3.38-3.39
Tm  0.4930  0.2823  0.2823  3 Pr 3.36-3.63, 6 Sc 3.38-3.39
Sc  0.4930  0.6963  0.4921  3 Sc 2.99-3.33, 1 Pr 3.14
Sc  0.9930  0.5079  0.3037  3 Sc 2.99-3.33, 1 Pr 3.14
Sc  0.4930  0.4921  0.6963  3 Sc 2.99-3.33, 1 Pr 3.14
Sc  0.9930  0.3037  0.5079  3 Sc 2.99-3.33, 1 Pr 3.14

## Properties
* raw total energy: -59.83 eV for the cell shown
* M_tot: 0.00 μB per atom

=====

No. 18
A relaxed structure of Er8Rh2Pb, computed with GGA-PBE.

a b c (Å): 5.4463 7.8845 7.8845
angles (deg): 113.68 97.86 97.86
Last column: nearest neighbours and their distance in Å.
Sites, in units of the cell vectors:
Er  0.5778  0.3359  0.0785  2 Rh 2.83-2.88
Er  0.5778  0.0785  0.3359  2 Rh 2.83-2.88
Er  0.1985  0.3967  0.3967  2 Rh 3.07, 4 Er 3.17-3.39, 1 Pb 3.30
Er  0.0000  0.2502  0.7559  2 Rh 2.83
Er  0.0000  0.7559  0.2502  2 Rh 2.83
Er  0.8015  0.6094  0.6094  2 Rh 3.07, 4 Er 3.17-3.39, 1 Pb 3.30
Er  0.4224  0.9277  0.6703  2 Rh 2.83-2.88
Er  0.4224  0.6703  0.9277  2 Rh 2.83-2.88
Rh  0.5001  0.6982  0.3079  8 Er 2.83-3.07
Rh  0.5001  0.3079  0.6982  8 Er 2.83-3.07
Pb  0.9993  0.0032  0.0032  12 Er 3.26-3.65

## Properties
* raw total energy: -59.46 eV for the cell shown
* M_tot: 0.01 μB per atom

=====

No. 19
A relaxed structure of SrLa2MgH, computed with GGA-PBE.

a b c (Å): 5.2922 5.2922 5.0529
angles (deg): 90.00 90.00 90.00
Last column: nearest neighbours and their distance in Å.
Sites, in units of the cell vectors:
Sr  0.5000  0.5000  0.5000  8 La 3.66, 4 Mg 3.74
Mg  0.0000  0.0000  0.5000  2 H 2.53
H  0.0000  0.0000  0.0000  2 Mg 2.53, 4 La 2.65
La  0.0000  0.5000  0.0000  2 H 2.65
La  0.5000  0.0000  0.0000  2 H 2.65

## Properties
* raw total energy: -16.79 eV for the cell shown
* M_tot: 0.00 μB per atom